(1)
The following is a PBE-GGA calculation of a relaxed Cs2ReSiN crystal, from Alexandria.

formation energy without anion corrections	1278	meV/atom
density of states at the Fermi level	0.96	states/eV per atom
total magnetization	3.6	μB per formula unit
SG	P4/mmm

Geometry as POSCAR:
```
Cs2ReSiN
1.0
-2.818 0.990 -6.022
-1.701 -3.034 0.298
-5.149 3.175 2.931
Cs Re Si N
2 1 1 1
Cartesian
-2.575 1.588 1.465
-1.409 0.495 -3.011
-4.834 0.566 -1.397
-0.851 -1.517 0.149
0.000 0.000 0.000
```


(2)
The following is a PBE-GGA calculation of a relaxed Cs2SmRe2N6 crystal, from Alexandria.

formation energy without anion corrections	-328	meV/atom
density of states at the Fermi level	0.32	states/eV per atom
total magnetization	1.0	μB per formula unit
SG	R-3m

Geometry as POSCAR:
```
Cs2SmRe2N6
1.0
6.537 0.000 0.000
-3.269 5.658 -0.230
0.000 -3.513 6.569
Cs Sm Re N
2 1 2 6
Cartesian
3.269 1.929 1.022
0.000 0.215 5.317
3.269 -1.757 3.285
3.269 2.091 4.973
0.000 0.053 1.366
3.269 0.340 4.585
1.502 -0.796 1.856
-1.767 2.940 4.483
1.767 2.940 4.483
5.035 -0.796 1.856
0.000 1.804 1.754
```


(3)
The following is a PBE-GGA calculation of a relaxed CsSm2Re2N6 crystal, from Alexandria.

formation energy without anion corrections	-571	meV/atom
density of states at the Fermi level	0.29	states/eV per atom
total magnetization	0.0	μB per formula unit
SG	P-1

Geometry as POSCAR:
```
CsSm2Re2N6
1.0
6.877 -0.232 0.356
3.218 5.572 -0.052
0.442 -3.371 6.281
Cs Sm Re N
1 2 2 6
Cartesian
3.659 -1.802 3.318
7.033 -0.879 5.107
3.503 2.848 1.477
3.649 1.477 5.133
6.887 0.492 1.451
4.982 0.287 5.405
1.590 1.547 1.172
3.874 2.717 3.786
8.946 0.422 5.412
6.662 -0.748 2.798
5.554 1.682 1.179
```


(4)
The following is a PBE-GGA calculation of a relaxed CsSr2Re2N6 crystal, from Alexandria.

formation energy without anion corrections	-304	meV/atom
density of states at the Fermi level	0.29	states/eV per atom
total magnetization	1.0	μB per formula unit
SG	P-1

Geometry as POSCAR:
```
CsSr2Re2N6
1.0
7.228 0.001 0.002
3.609 5.956 -0.253
-0.001 -3.556 6.532
Cs Sr Re N
1 2 2 6
Cartesian
3.614 -1.777 3.267
7.228 -0.631 5.035
3.608 3.032 1.246
3.613 1.661 5.146
7.223 0.740 1.134
5.072 0.643 5.319
1.448 1.766 0.966
3.613 2.841 3.787
9.388 0.634 5.315
7.223 -0.440 2.494
5.764 1.758 0.961
```


(5)
The following is a PBE-GGA calculation of a relaxed CsSr2ReN crystal, from Alexandria.

formation energy without anion corrections	1045	meV/atom
density of states at the Fermi level	1.82	states/eV per atom
total magnetization	3.6	μB per formula unit
SG	P4/mmm

Geometry as POSCAR:
```
CsSr2ReN
1.0
5.198 0.000 0.000
0.000 5.865 0.000
0.000 0.000 5.198
Cs Re N Sr
1 1 1 2
Cartesian
0.000 2.933 0.000
2.599 2.933 2.599
0.000 0.000 0.000
0.000 0.000 2.599
2.599 0.000 0.000
```


(6)
The following is a PBE-GGA calculation of a relaxed Cs2TbReN4 crystal, from Alexandria.

formation energy without anion corrections	-379	meV/atom
density of states at the Fermi level	0.00	states/eV per atom
total magnetization	0.0	μB per formula unit
SG	Fddd

Geometry as POSCAR:
```
Cs2TbReN4
1.0
-0.125 3.258 -4.944
0.505 -3.866 -6.107
-12.045 0.628 -2.829
Cs Tb Re N
4 2 2 8
Cartesian
-7.764 0.985 -2.701
-4.406 2.900 -5.071
-10.145 0.466 -8.303
-1.583 1.182 -8.048
-5.864 0.824 -8.176
0.000 0.000 0.000
-5.801 -0.805 -5.704
-0.063 1.629 -2.472
-0.579 -2.130 -7.047
-11.035 0.830 -4.831
-10.756 -0.023 -11.820
-0.960 1.361 -4.062
-4.780 -0.912 -7.237
-6.874 0.621 -6.173
-6.773 0.867 -10.236
-4.904 -0.537 -4.114
```


(7)
The following is a PBE-GGA calculation of a relaxed CsReTe2N crystal, from Alexandria.

formation energy without anion corrections	2954	meV/atom
density of states at the Fermi level	1.83	states/eV per atom
distance to the lowest polymorph of the same formula	14.00	eV per formula unit
total magnetization	0.4	μB per formula unit
SG	P4/mmm

Geometry as POSCAR:
```
CsReTe2N
1.0
6.044 0.000 0.000
0.000 6.044 0.000
0.000 0.000 4.037
Cs Re Te N
1 1 2 1
Cartesian
0.000 0.000 0.000
3.022 3.022 2.018
0.000 3.022 0.000
3.022 0.000 0.000
0.000 0.000 2.018
```


(8)
The following is a PBE-GGA calculation of a relaxed CsReTe2N crystal, from Alexandria.

formation energy without anion corrections	154	meV/atom
density of states at the Fermi level	0.99	states/eV per atom
distance to the lowest polymorph of the same formula	0.00	eV per formula unit
total magnetization	0.2	μB per formula unit
SG	P4/mmm

Geometry as POSCAR:
```
CsReTe2N
1.0
-4.949 -3.125 0.047
2.889 -4.608 -2.162
0.776 -1.176 3.543
Cs Re Te N
1 1 2 1
Cartesian
-0.642 -4.454 0.714
0.000 0.000 0.000
1.445 -2.304 -1.081
-2.474 -1.562 0.024
0.388 -0.588 1.771
```